Compound: LaNb2Pt2
Source: the Alexandria database
Functional: PBE
Structure: relaxed

Cell lengths 7.3209, 7.3209, 7.3209 Å; angles 148.72, 148.72, 44.82 degrees
Last column: nearest neighbours and their distance in Å.
Positions (direct):
La 0.0000 0.0000 0.0000  8 Pt 3.12
Nb 0.2500 0.7500 0.5000  4 Nb 2.79, 4 Pt 2.81
Nb 0.7500 0.2500 0.5000  4 Nb 2.79, 4 Pt 2.81
Pt 0.3976 0.3976 0.0000  1 Pt 2.77, 4 Nb 2.81
Pt 0.6024 0.6024 0.0000  1 Pt 2.77, 4 Nb 2.81

- Relative energy among the computed polymorphs: 0.000 eV per atom
- Mass density: 11.3 g/cm3
- Calculated formation energy: -0.5213 eV/atom
- E_tot: -39.75 eV/cell